No. 1
Li2As: relaxed, PBE-GGA.

Properties
Volume   380.3 Å³/cell
Total magnetization   0.00 μB per cell
ΔE to the lowest computed polymorph   0.541 eV/f.u.
E_form   -0.45 eV per atom
E   -0.1204 Ha/atom

Cell: 4.0256 4.0256 23.4682 Å, 90.00 90.00 90.00°
Last column: nearest neighbours and their distance in Å.
Space group I4_1/amd (No. 141, origin choice 2)
Symmetry-distinct sites (fractional):
Li 0.0000 0.2500 0.1210 x8  4 As 2.59-2.71, 6 Li 2.85-2.87
Li 0.0000 0.2500 0.7841 x8  4 Li 2.57-2.87, 6 As 2.85-2.88
As 0.0000 0.2500 0.3018 x8  10 Li 2.59-2.88



No. 2
Na2Tl3AgBr6: relaxed, PBE-GGA.

Properties
Volume   763.8 Å³/cell
Total magnetization   0.00 μB per cell
Formation energy (no corrections)   -0.985 eV per atom
E   -0.1055 Ha/atom

Cell: 19.7453 4.4309 9.0630 Å, 90.00 105.57 90.00°
Last column: nearest neighbours and their distance in Å.
Space group C2/m (No. 12)
Symmetry-distinct sites (fractional):
Na 0.1651 0.0000 0.3312 x4  6 Br 3.02-3.06
Tl 0.0000 0.5000 0.5000 x2  6 Br 3.32-3.36
Tl 0.1677 0.0000 0.8356 x4  6 Br 3.31-3.39
Ag 0.0000 0.5000 0.0000 x2  6 Br 2.95-2.99
Br 0.0051 0.0000 0.2242 x4  2 Ag 2.99, 1 Na 3.05, 1 Tl 3.31
Br 0.1548 0.5000 0.0990 x4  1 Ag 2.95, 2 Na 3.02
Br 0.1739 0.5000 0.5647 x4  3 Na 3.04-3.06, 3 Tl 3.32-3.33



No. 3
TlPbIO5: relaxed, PBE-GGA.

Properties
Volume   558.8 Å³/cell
Total magnetization   0.00 μB per cell
Formation energy (no corrections)   -0.587 eV per atom
E   -0.1705 Ha/atom

Cell: 8.1892 9.9336 7.7096 Å, 90.00 116.99 90.00°
Last column: nearest neighbours and their distance in Å.
Space group C2/c (No. 15)
Symmetry-distinct sites (fractional):
Tl 0.2500 0.2500 0.0000 x4  4 O 2.19-2.38
Pb 0.0000 0.0508 0.2500 x4  3 O 2.30-2.53
I 0.0000 0.4818 0.2500 x4  2 O 1.85
O 0.0000 0.1811 0.7500 x4  2 Tl 2.19, 1 Pb 2.30
O 0.0152 0.3576 0.0799 x8  1 I 1.85
O 0.2211 0.0257 0.0893 x8  1 I 2.09



No. 4
SbRh2S: relaxed, PBE-GGA.

Properties
Volume   258.5 Å³/cell
Total magnetization   0.00 μB per cell
ΔE to the lowest computed polymorph   0.952 eV/f.u.
Formation energy (no corrections)   -0.006 eV per atom
E   -0.2111 Ha/atom

Cell: 6.3701 6.3701 6.3701 Å, 90.00 90.00 90.00°
Last column: nearest neighbours and their distance in Å.
Space group Fm-3m (No. 225)
Symmetry-distinct sites (fractional):
Sb 0.0000 0.0000 0.0000 x4  8 Rh 2.76
Rh 0.2500 0.2500 0.2500 x8  4 S 2.76, 4 Sb 2.76
S 0.0000 0.0000 0.5000 x4  8 Rh 2.76



No. 5
Zr3InNi8: relaxed, PBE-GGA.

Properties
Volume   506.0 Å³/cell
Total magnetization   0.00 μB per cell
E_form   -0.41 eV per atom
E   -0.2438 Ha/atom

Cell: 4.9159 4.9159 24.1766 Å, 90.00 90.00 120.00°
Last column: nearest neighbours and their distance in Å.
Space group R3m (No. 160, hexagonal axes)
Symmetry-distinct sites (fractional):
Zr 0.0000 0.0000 0.0000 x3  12 Ni 2.85-2.96, 3 In 2.96, 1 Zr 3.04
Zr 0.0000 0.0000 0.1259 x3  12 Ni 2.83-2.92, 4 Zr 3.04-3.08
Zr 0.0000 0.0000 0.5083 x3  12 Ni 2.81-2.94, 1 In 2.99, 3 Zr 3.08
In 0.0000 0.0000 0.6322 x3  12 Ni 2.86-2.95, 4 Zr 2.96-2.99
Ni 0.0000 0.0000 0.3160 x3  6 Ni 2.48-2.50
Ni 0.0000 0.0000 0.8162 x3  6 Ni 2.44
Ni 0.0030 0.5015 0.0681 x9  6 Ni 2.44-2.50
Ni 0.1681 0.3363 0.8982 x9  6 Ni 2.44-2.48



No. 6
ReSbRu2: relaxed, PBE-GGA.

Properties
Volume   124.8 Å³/cell
Total magnetization   0.00 μB per cell
Formation energy (no corrections)   0.308 eV per atom
E   -0.3114 Ha/atom

Cell: 3.9444 3.9444 8.0191 Å, 90.00 90.00 90.00°
Last column: nearest neighbours and their distance in Å.
Space group I-4m2 (No. 119)
Symmetry-distinct sites (fractional):
Re 0.0000 0.0000 0.0000 x2  8 Ru 2.79-2.81, 4 Sb 2.81
Sb 0.0000 0.5000 0.2500 x2  8 Ru 2.79-2.81, 4 Re 2.81
Ru 0.0000 0.0000 0.5000 x2  4 Re 2.79, 4 Sb 2.81, 4 Ru 2.81
Ru 0.0000 0.5000 0.7500 x2  4 Sb 2.79, 4 Re 2.81, 4 Ru 2.81



No. 7
Nd6Y3Mg: relaxed, PBE-GGA.

Properties
Volume   666.7 Å³/cell
Total magnetization   0.00 μB per cell
ΔE to the lowest computed polymorph   0.000 eV/f.u.
E_form   0.01 eV per atom
E   -0.1818 Ha/atom

Cell: 11.3435 5.1291 11.4604 Å, 90.00 90.78 90.00°
Last column: nearest neighbours and their distance in Å.
Space group P2_1/m (No. 11)
Symmetry-distinct sites (fractional):
Nd 0.0478 0.2500 0.3963 x2  7 Nd 3.56-3.67, 1 Mg 3.59, 4 Y 3.60-3.63
Nd 0.1479 0.7500 0.1931 x2  3 Mg 3.49-3.56, 5 Nd 3.59-3.66, 4 Y 3.61-3.63
Nd 0.1503 0.2500 0.6966 x2  8 Nd 3.56-3.63, 2 Y 3.63, 2 Mg 3.69
Nd 0.2460 0.2500 0.9982 x2  3 Mg 3.53-3.57, 5 Nd 3.59-3.62, 4 Y 3.60-3.64
Nd 0.3459 0.7500 0.7999 x2  6 Nd 3.58-3.63, 1 Mg 3.60, 5 Y 3.62-3.64
Nd 0.4485 0.2500 0.6018 x2  5 Nd 3.57-3.67, 7 Y 3.59-3.66
Y 0.2488 0.7500 0.4954 x2  10 Nd 3.60-3.64, 2 Y 3.63
Y 0.3502 0.2500 0.2961 x2  8 Nd 3.60-3.66, 4 Y 3.61-3.63
Y 0.4505 0.7500 0.0996 x2  8 Nd 3.59-3.64, 4 Y 3.61-3.62
Mg 0.0474 0.7500 0.9034 x2  10 Nd 3.49-3.69, 2 Mg 3.56



No. 8
Ca2Ga6Pt9: relaxed, PBE-GGA.

Properties
Volume   327.5 Å³/cell
Total magnetization   0.00 μB per cell
E_form   -0.72 eV per atom
E   -0.1920 Ha/atom

Cell: 5.6433 5.6433 11.8738 Å, 90.00 90.00 120.00°
Last column: nearest neighbours and their distance in Å.
Space group P6/mmm (No. 191)
Symmetry-distinct sites (fractional):
Ca 0.0000 0.0000 0.1992 x2  6 Pt 3.23, 6 Ga 3.28
Ga 0.3333 0.6667 0.1654 x4  6 Pt 2.55-2.56
Ga 0.3333 0.6667 0.5000 x2  6 Pt 2.58
Pt 0.0000 0.5000 0.0000 x3  4 Ga 2.55, 4 Pt 2.82
Pt 0.0000 0.5000 0.3318 x6  4 Ga 2.56-2.58, 4 Pt 2.82



No. 9
TaV2Ru: relaxed, PBE-GGA.

Properties
Volume   232.6 Å³/cell
Total magnetization   0.00 μB per cell
ΔE to the lowest computed polymorph   0.098 eV/f.u.
E_form   -0.20 eV per atom
E   -0.3689 Ha/atom

Cell: 6.1496 6.1496 6.1496 Å, 90.00 90.00 90.00°
Last column: nearest neighbours and their distance in Å.
Space group Fm-3m (No. 225)
Symmetry-distinct sites (fractional):
Ta 0.0000 0.0000 0.0000 x4  8 V 2.66
V 0.2500 0.2500 0.2500 x8  4 Ta 2.66, 4 Ru 2.66
Ru 0.0000 0.0000 0.5000 x4  8 V 2.66



No. 10
Li3AsPt: relaxed, PBE-GGA.

Properties
Volume   95.2 Å³/cell
Total magnetization   0.00 μB per cell
ΔE to the lowest computed polymorph   2.758 eV/f.u.
E_form   0.11 eV per atom
E   -0.1167 Ha/atom

Cell: 4.5655 4.5655 4.5655 Å, 90.00 90.00 90.00°
Last column: nearest neighbours and their distance in Å.
Space group Pm-3m (No. 221)
Symmetry-distinct sites (fractional):
Li 0.0000 0.0000 0.5000 x3  2 As 2.28
As 0.0000 0.0000 0.0000 x1  6 Li 2.28
Pt 0.5000 0.5000 0.5000 x1  12 Li 3.23



No. 11
Er2CuS3: relaxed, PBE-GGA.

Properties
Volume   233.9 Å³/cell
Total magnetization   0.00 μB per cell
Formation energy (no corrections)   -1.493 eV per atom
E   -0.2117 Ha/atom

Cell: 3.6192 4.2286 15.2817 Å, 90.00 90.00 90.00°
Last column: nearest neighbours and their distance in Å.
Space group Immm (No. 71)
Symmetry-distinct sites (fractional):
Er 0.0000 0.0000 0.1404 x4  7 S 2.77-2.84
Cu 0.0000 0.0000 0.5000 x2  2 S 2.11
S 0.0000 0.0000 0.3217 x4  1 Cu 2.73, 5 Er 2.77-2.84
S 0.0000 0.5000 0.5000 x2  2 Cu 2.11



No. 12
FeSi5: relaxed, PBE-GGA.

Properties
Volume   345.6 Å³/cell
Total magnetization   10.75 μB per cell
ΔE to the lowest computed polymorph   2.483 eV/f.u.
Formation energy (no corrections)   0.612 eV per atom
E   -0.1954 Ha/atom

Cell: 7.0177 7.0177 7.0177 Å, 90.00 90.00 90.00°
Last column: nearest neighbours and their distance in Å.
Space group F-43m (No. 216)
Symmetry-distinct sites (fractional):
Fe 0.0000 0.0000 0.0000 x4  16 Si 2.91-3.04
Si 0.1249 0.1249 0.6249 x16  6 Si 2.48
Si 0.2500 0.2500 0.2500 x4  12 Si 2.91, 4 Fe 3.04